An optimized crystal structure of SrPr2In. Source: Alexandria via LeMat-Bulk, functional PBE-GGA.

Cell and atoms, written as CIF:
```
data_SrPr2In
_symmetry_space_group_name_H-M 'R -3 m'
_symmetry_Int_Tables_number 166
_symmetry_space_group_name_Hall '-R 3 2"'
_cell_length_a 3.7935
_cell_length_b 3.7935
_cell_length_c 37.1906
_cell_angle_alpha 90.00
_cell_angle_beta 90.00
_cell_angle_gamma 120.00
loop_
_atom_site_label
_atom_site_type_symbol
_atom_site_fract_x
_atom_site_fract_y
_atom_site_fract_z
Sr1 Sr 0.0000 0.0000 0.0000
Pr1 Pr 0.0000 0.0000 0.1004
In1 In 0.0000 0.0000 0.5000
```

The calculated formation energy comes out at 0.04 eV/atom. The value obtained for the electronic total energy is -41.50 eV/cell.



An optimized crystal structure of SrPrIn. Source: Alexandria via LeMat-Bulk, functional PBE-GGA.

Cell and atoms, written as CIF:
```
data_SrPrIn
_symmetry_space_group_name_H-M 'P -3 m 1'
_symmetry_Int_Tables_number 164
_symmetry_space_group_name_Hall '-P 3 2"'
_cell_length_a 5.4709
_cell_length_b 5.4709
_cell_length_c 8.6695
_cell_angle_alpha 90.00
_cell_angle_beta 90.00
_cell_angle_gamma 120.00
loop_
_atom_site_label
_atom_site_type_symbol
_atom_site_fract_x
_atom_site_fract_y
_atom_site_fract_z
Sr1 Sr 0.3333 0.6667 0.3601
Pr1 Pr 0.3333 0.6667 0.9039
In1 In 0.0000 0.0000 0.1810
```

The calculated formation energy comes out at -0.25 eV/atom. The value obtained for the electronic total energy is -19.87 eV/cell.



An optimized crystal structure of SrPr2In6. Source: Alexandria via LeMat-Bulk, functional PBE-GGA.

Cell and atoms, written as CIF:
```
data_SrPr2In6
_symmetry_space_group_name_H-M 'P 6/m m m'
_symmetry_Int_Tables_number 191
_symmetry_space_group_name_Hall '-P 6 2'
_cell_length_a 8.7559
_cell_length_b 8.7559
_cell_length_c 3.8270
_cell_angle_alpha 90.00
_cell_angle_beta 90.00
_cell_angle_gamma 120.00
loop_
_atom_site_label
_atom_site_type_symbol
_atom_site_fract_x
_atom_site_fract_y
_atom_site_fract_z
Sr1 Sr 0.0000 0.0000 0.0000
Pr1 Pr 0.3333 0.6667 0.0000
In1 In 0.0000 0.3355 0.5000
```

The calculated formation energy comes out at -0.44 eV/atom. The value obtained for the electronic total energy is -31.60 eV/cell.



An optimized crystal structure of Sr4PrIn5. Source: Alexandria via LeMat-Bulk, functional PBE-GGA.

Cell and atoms, written as CIF:
```
data_Sr4PrIn5
_symmetry_space_group_name_H-M 'P 4/m m m'
_symmetry_Int_Tables_number 123
_symmetry_space_group_name_Hall '-P 4 2'
_cell_length_a 4.042
_cell_length_b 4.042
_cell_length_c 20.160
_cell_angle_alpha 90.00
_cell_angle_beta 90.00
_cell_angle_gamma 90.00
loop_
_atom_site_label
_atom_site_type_symbol
_atom_site_fract_x
_atom_site_fract_y
_atom_site_fract_z
Sr1 Sr 0.000 0.000 0.101
Sr2 Sr 0.000 0.000 0.303
Pr1 Pr 0.000 0.000 0.500
In1 In 0.500 0.500 0.000
In2 In 0.500 0.500 0.202
In3 In 0.500 0.500 0.408
```

The calculated formation energy comes out at -0.44 eV/atom. The value obtained for the electronic total energy is -29.58 eV/cell.



An optimized crystal structure of Sr2PrInTe4. Source: Alexandria via LeMat-Bulk, functional PBE-GGA.

Cell and atoms, written as CIF:
```
data_Sr2PrInTe4
_symmetry_space_group_name_H-M 'P 1 2/m 1'
_symmetry_Int_Tables_number 10
_cell_length_a 7.974
_cell_length_b 4.696
_cell_length_c 8.320
_cell_angle_alpha 90.00
_cell_angle_beta 108.79
_cell_angle_gamma 90.00
loop_
_symmetry_equiv_pos_as_xyz
'x,y,z'
'-x,-y,-z'
'-x,y,-z'
'x,-y,z'
loop_
_atom_site_label
_atom_site_type_symbol
_atom_site_fract_x
_atom_site_fract_y
_atom_site_fract_z
Sr1 Sr 0.000 0.000 0.000
Sr2 Sr 0.000 0.500 0.500
Pr1 Pr 0.500 0.000 0.500
In1 In 0.500 0.500 0.000
Te1 Te 0.255 0.000 0.738
Te2 Te 0.261 0.500 0.261
```

The value obtained for the electronic total energy is -34.06 eV/cell. The value obtained for the uncorrected formation energy is -1326 meV per atom.



An optimized crystal structure of Tb2PrIn6. Source: Alexandria via LeMat-Bulk, functional PBE-GGA.

Cell and atoms, written as CIF:
```
data_Tb2PrIn6
_symmetry_space_group_name_H-M 'P 6/m m m'
_symmetry_Int_Tables_number 191
_symmetry_space_group_name_Hall '-P 6 2'
_cell_length_a 8.6507
_cell_length_b 8.6507
_cell_length_c 3.6371
_cell_angle_alpha 90.00
_cell_angle_beta 90.00
_cell_angle_gamma 120.00
loop_
_atom_site_label
_atom_site_type_symbol
_atom_site_fract_x
_atom_site_fract_y
_atom_site_fract_z
Tb1 Tb 0.3333 0.6667 0.0000
Pr1 Pr 0.0000 0.0000 0.0000
In1 In 0.0000 0.3352 0.5000
```

The calculated formation energy comes out at -0.43 eV/atom. The value obtained for the electronic total energy is -34.34 eV/cell.